A crystal of SiIrRhBr2 relaxed with PBEsol, computed with SCAN.

For the uncorrected energy, the calculation gives -29.524 eV per atom.

Cell lengths 4.909, 4.909, 4.459 Å; angles 90.00, 90.00, 90.00 degrees
Space group P4/mmm (No. 123)
One atom of each set of equivalent atoms:
Si 0.000 0.000 0.000 x1
Ir 0.500 0.500 0.000 x1
Rh 0.000 0.000 0.500 x1
Br 0.000 0.500 0.500 x2